Entry from Alexandria: a relaxed TlCoRe2 crystal (PBE).

Cell lengths 4.706, 4.706, 5.007 Å; angles 100.78, 100.78, 36.39 degrees
Positions (direct):
Tl  0.000  0.000  0.000
Co  0.242  0.242  0.751
Re  0.509  0.509  0.504
Re  0.767  0.767  0.344

Values from the calculation:
Its density of states at the Fermi level is 3.55 states/eV/f.u. The space-group type is Cm, No. 8. The value obtained for the uncorrected energy is -7.8873 eV per atom. Its energy above the most stable polymorph in this dataset is 203.2 meV/atom. For the formation energy, the calculation gives 0.705 eV per atom. The value obtained for the magnetization is 0.64 μB/f.u. Its calculated density is 16.369 g cm⁻³.


Entry from Alexandria: a relaxed TlCoRe2 crystal (PBE).

Cell lengths 5.091, 5.091, 5.091 Å; angles 136.42, 136.42, 63.33 degrees
Positions (direct):
Tl  0.000  0.000  0.000
Co  0.500  0.500  0.000
Re  0.250  0.750  0.500
Re  0.750  0.250  0.500

Values from the calculation:
Its density of states at the Fermi level is 2.71 states/eV/f.u. The space-group type is I4/mmm, No. 139. The value obtained for the uncorrected energy is -7.8040 eV per atom. Its energy above the most stable polymorph in this dataset is 286.5 meV/atom. For the formation energy, the calculation gives 0.788 eV per atom. The value obtained for the magnetization is 0.00 μB/f.u. Its calculated density is 17.057 g cm⁻³.


Question: What is the formula in the second record?
Answer: TlCoRe2


Question: Look up the uncorrected energy of the first one.
Answer: -7.8873 eV per atom